(1)
Below is a relaxed Sc2SiRh crystal, with properties calculated at the PBE level.

```
Sc2SiRh
1.0
1.567 0.905 8.847
-1.567 0.905 8.847
0.000 -1.810 8.847
Sc Si Rh
2 1 1
Cartesian
0.000 0.000 2.371 Sc
0.000 0.000 24.171 Sc
0.000 0.000 13.271 Si
0.000 0.000 0.000 Rh
```

Summary:
Formation energy from raw total energies = -0.14 eV per atom
Theoretical density = 4.87 g/cm3
Space group = No. 166
Crystal system = trigonal
N(E_F) = 2.38 states/eV/cell

(2)
Below is a relaxed AlVSe2Br crystal, with properties calculated at the PBE level.

```
AlVSe2Br
1.0
4.964 0.000 0.000
0.000 4.964 0.000
0.000 0.000 4.873
Al V Se Br
1 1 2 1
Cartesian
0.000 0.000 0.000 Al
2.482 2.482 2.436 V
0.000 2.482 0.000 Se
2.482 0.000 0.000 Se
0.000 0.000 2.436 Br
```

Summary:
Formation energy from raw total energies = 0.15 eV per atom
Theoretical density = 4.37 g/cm3
Space group = No. 123
Crystal system = tetragonal
Relative energy among the computed polymorphs = 0.2864 eV per atom
N(E_F) = 6.00 states/eV/cell

(3)
Below is a relaxed Ce4Sm2Bi3N2 crystal, with properties calculated at the PBE level.

```
Ce4Sm2Bi3N2
1.0
-2.362 2.362 13.451
2.362 -2.362 13.451
2.362 2.362 -13.451
Ce Sm Bi N
4 2 3 2
Cartesian
2.362 0.000 2.323 Ce
2.362 0.000 11.128 Ce
0.000 2.362 2.323 Ce
0.000 2.362 11.128 Ce
0.000 0.000 5.235 Sm
0.000 0.000 21.666 Sm
0.000 0.000 8.570 Bi
0.000 0.000 13.451 Bi
0.000 0.000 18.331 Bi
0.000 0.000 2.850 N
0.000 0.000 24.051 N
```

Summary:
Formation energy from raw total energies = -0.98 eV per atom
Theoretical density = 8.39 g/cm3
Space group = No. 139
Crystal system = tetragonal
N(E_F) = 22.55 states/eV/cell

(4)
Below is a relaxed Ho2ErNb crystal, with properties calculated at the PBE level.

```
Ho2ErNb
1.0
1.673 0.966 11.044
-1.673 0.966 11.044
0.000 -1.931 11.044
Ho Er Nb
2 1 1
Cartesian
0.000 0.000 8.012 Ho
0.000 0.000 25.119 Ho
0.000 0.000 0.000 Er
0.000 0.000 16.565 Nb
```

Summary:
Theoretical density = 9.15 g/cm3
Space group = No. 166
Crystal system = trigonal
N(E_F) = 5.79 states/eV/cell
E_form = 269 meV/atom

(5)
Below is a relaxed LaIn2Re crystal, with properties calculated at the PBE level.

```
LaIn2Re
1.0
0.000 3.569 3.569
3.569 0.000 3.569
3.569 3.569 0.000
La In Re
1 2 1
Cartesian
0.000 0.000 0.000 La
1.784 1.784 1.784 In
5.353 5.353 5.353 In
3.569 3.569 3.569 Re
```

Summary:
Theoretical density = 10.13 g/cm3
Space group = No. 225
Crystal system = cubic
Relative energy among the computed polymorphs = 0.1064 eV per atom
N(E_F) = 4.78 states/eV/cell
E_form = 287 meV/atom

(6)
Below is a relaxed Ni2AsPb crystal, with properties calculated at the PBE level.

```
Ni2AsPb
1.0
3.288 0.000 0.000
0.000 3.484 0.000
-1.636 0.000 6.159
Ni As Pb
2 1 1
Cartesian
0.000 0.000 0.000 Ni
0.008 1.742 1.955 Ni
1.650 1.742 0.276 As
1.656 0.000 3.448 Pb
```

Summary:
Theoretical density = 9.40 g/cm3
Space group = No. 6
Crystal system = monoclinic
N(E_F) = 1.53 states/eV/cell
E_form = -42 meV/atom